Below is a geometry-optimized SrRu3Au structure, with properties calculated at the PBE level.

Structure (POSCAR):
```
SrRu3Au
1.0
4.975 0.000 0.000
0.000 4.975 0.000
0.000 0.000 4.975
Sr Ru Au
1 3 1
Direct
0.000 0.000 0.000
0.000 0.500 0.500
0.500 0.000 0.500
0.500 0.500 0.000
0.500 0.500 0.500
```

Calculated values
For the formation enthalpy at 0 K, the calculation gives 1.486 eV per atom. For the total energy, the calculation gives -5.07 eV per atom. The value obtained for the density is 7.93 g/cm³. As for the space-group type: Pm-3m, No. 221.